Ga2IrRhPb: optimized geometry, PBE.

Calculated values
Crystal system = tetragonal
Total energy = -23.7 eV for the cell shown
ΔE_f = 44.0 kJ/mol of atoms
Total magnetic moment = 0.000 Bohr magnetons per cell

extended XYZ file:
```
5
Lattice="4.706 0.000 0.000 0.000 5.260 0.000 0.000 0.000 4.706" Properties=species:S:1:pos:R:3 pbc="T T T"
Rh 2.353 2.630 2.353
Ga 0.000 0.000 2.353
Ga 2.353 0.000 0.000
Pb 0.000 2.630 0.000
Ir 0.000 0.000 0.000
```